Record 1
A relaxed structure of Cs2CeCu2Se4, computed with PBE.

```
Cs2CeCu2Se4
1.0
-2.314 1.391 -3.257
5.798 -4.381 -3.242
-6.245 -5.257 2.193
Cs Ce Se Cu
2 1 4 2
Cartesian
-2.242 -4.006 -0.117 Cs
-0.520 -4.242 -4.189 Cs
0.000 0.000 0.000 Ce
3.063 -4.704 -4.184 Se
-3.645 -6.009 -2.723 Se
-5.825 -3.544 -0.122 Se
0.883 -2.239 -1.584 Se
-5.665 -5.758 -1.181 Cu
2.903 -2.489 -3.126 Cu
```

The total magnetization is 0.140 Bohr magnetons per cell. The uncorrected formation energy comes out at -1.1079 eV/atom. The mass density comes out at 5.410 Mg/m³.

Record 2
A relaxed structure of CePmTm, computed with PBE.

```
CePmTm
1.0
-0.994 -2.148 -2.611
0.752 -1.322 3.179
-8.293 0.965 2.364
Tm Pm Ce
1 1 1
Cartesian
-5.308 -0.960 2.810 Tm
-0.020 0.002 0.006 Pm
-3.206 -1.547 0.115 Ce
```

The total magnetization is 0.610 Bohr magnetons per cell. As for the polymorph energy (0 for the lowest one): 0.0328 eV/atom. For the formation enthalpy at 0 K, the calculation gives 72 meV/atom. The mass density comes out at 8.079 Mg/m³.

Record 3
A relaxed structure of Cs2SmTc2N6, computed with PBE.

```
Cs2SmTc2N6
1.0
-1.535 6.033 -1.910
-4.589 -3.893 2.488
4.891 2.776 4.839
N Cs Tc Sm
6 2 2 1
Cartesian
0.028 4.562 3.286 N
0.011 5.404 -0.049 N
-2.075 2.778 4.430 N
-1.244 -0.489 5.465 N
-1.261 0.354 2.130 N
0.842 2.138 0.986 N
-2.326 3.100 0.561 Cs
1.093 1.816 4.855 Cs
-1.517 4.446 4.161 Tc
0.284 0.470 1.255 Tc
1.678 4.404 1.464 Sm
```

The total magnetization is 1.013 Bohr magnetons per cell. The uncorrected formation energy comes out at -0.2047 eV/atom. The mass density comes out at 4.923 Mg/m³.

Record 4
A relaxed structure of Sc2ZnSb, computed with PBE.

```
Sc2ZnSb
1.0
-2.545 -0.889 -2.861
0.701 -3.827 0.566
-4.317 -0.213 3.905
Zn Sb Sc
1 1 2
Cartesian
-1.976 -0.097 1.788 Zn
-4.304 -2.525 1.912 Sb
-2.155 -2.419 -0.032 Sc
-4.201 -0.207 3.800 Sc
```

The total magnetization is 0.000 Bohr magnetons per cell. As for the polymorph energy (0 for the lowest one): 0.1861 eV/atom. The uncorrected formation energy comes out at -0.4239 eV/atom. The mass density comes out at 5.110 Mg/m³.

Record 5
A relaxed structure of CaAl3Se, computed with PBE.

```
CaAl3Se
1.0
-3.969 -2.587 3.065
-2.555 -1.693 -4.738
3.092 -4.720 0.019
Al Ca Se
3 1 1
Cartesian
-1.277 -0.846 -2.369 Al
-1.985 -1.294 1.532 Al
1.546 -2.360 0.010 Al
0.000 0.000 0.000 Ca
-1.716 -4.500 -0.827 Se
```

The total magnetization is 0.000 Bohr magnetons per cell. As for the polymorph energy (0 for the lowest one): 0.8717 eV/atom. The uncorrected formation energy comes out at 1.1704 eV/atom. The mass density comes out at 1.848 Mg/m³.

Record 6
A relaxed structure of La2In2Pd, computed with PBE.

```
La2In2Pd
1.0
7.384 0.000 0.000
0.000 7.384 0.000
0.000 0.000 5.053
In Pd La
4 2 4
Cartesian
4.796 1.104 0.000 In
1.104 2.589 0.000 In
6.281 4.796 0.000 In
2.589 6.281 0.000 In
0.000 0.000 0.000 Pd
3.692 3.692 0.000 Pd
4.829 6.247 2.527 La
1.137 4.829 2.527 La
6.247 2.555 2.527 La
2.555 1.137 2.527 La
```

The total magnetization is 0.000 Bohr magnetons per cell. As for the polymorph energy (0 for the lowest one): 0.0976 eV/atom. For the formation enthalpy at 0 K, the calculation gives -512 meV/atom. The mass density comes out at 7.399 Mg/m³.

Record 7
A relaxed structure of CsSO2, computed with PBE.

```
CsSO2
1.0
2.283 0.000 7.022
-1.141 1.977 7.022
-1.141 -1.977 7.022
O S Cs
2 1 1
Cartesian
0.000 0.000 1.588 O
0.000 0.000 19.477 O
0.000 0.000 0.000 S
0.000 0.000 10.533 Cs
```

The total magnetization is 1.000 Bohr magnetons per cell. The uncorrected formation energy comes out at -0.7152 eV/atom. The mass density comes out at 3.440 Mg/m³.

Record 8
A relaxed structure of Er3CI7, computed with PBE.

```
Er3CI7
1.0
7.713 0.000 0.000
0.000 8.429 0.000
0.000 -4.215 7.300
I Er C
7 3 1
Cartesian
0.064 0.000 2.415 I
4.185 4.215 4.861 I
7.685 4.215 2.433 I
4.185 2.112 1.219 I
0.064 2.124 6.093 I
0.064 -2.124 6.093 I
4.185 6.317 1.219 I
5.882 1.950 3.741 Er
5.882 0.000 7.118 Er
5.882 -1.950 3.741 Er
5.228 0.000 4.867 C
```

The total magnetization is 2.044 Bohr magnetons per cell. The uncorrected formation energy comes out at -0.8942 eV/atom. The mass density comes out at 4.906 Mg/m³.

Record 9
A relaxed structure of RbLiTbI5, computed with PBE.

```
RbLiTbI5
1.0
8.571 -0.021 -0.074
-2.522 8.192 -0.074
-2.594 -3.504 10.650
I Rb Tb Li
10 2 2 2
Cartesian
-3.293 2.519 9.453 I
3.821 3.598 4.500 I
-0.366 1.069 6.002 I
5.756 -2.005 7.913 I
-1.213 5.329 6.374 I
6.748 2.148 1.049 I
-2.301 6.672 2.588 I
4.668 -0.662 4.128 I
1.029 2.953 9.825 I
2.427 1.714 0.677 I
0.719 4.437 2.588 Rb
2.736 0.231 7.913 Rb
-1.297 -1.752 5.325 Tb
0.000 0.000 0.000 Tb
-1.049 3.033 7.913 Li
4.504 1.634 2.588 Li
```

The total magnetization is 0.000 Bohr magnetons per cell. The uncorrected formation energy comes out at -1.3648 eV/atom. The mass density comes out at 3.961 Mg/m³.

Record 10
A relaxed structure of Pm2CoC2, computed with PBE.

```
Pm2CoC2
1.0
-1.005 -3.308 1.131
1.480 -0.541 5.582
-6.416 1.805 5.425
Pm C Co
4 4 2
Cartesian
-3.257 -0.330 7.839 Pm
-6.449 -1.415 7.679 Pm
-2.685 -1.714 4.298 Pm
0.507 -0.630 4.459 Pm
-4.900 -1.217 9.633 C
-3.148 0.804 5.402 C
-2.793 -2.848 6.736 C
-1.042 -0.827 2.505 C
-0.956 -1.353 6.891 Co
-4.986 -0.691 5.247 Co
```

The total magnetization is 0.740 Bohr magnetons per cell. For the formation enthalpy at 0 K, the calculation gives 39 meV/atom. The mass density comes out at 7.880 Mg/m³.

Record 11
A relaxed structure of TmZr2Nb, computed with PBE.

```
TmZr2Nb
1.0
3.589 0.000 0.000
0.000 3.589 0.000
0.000 0.000 7.283
Zr Tm Nb
2 1 1
Cartesian
0.000 0.000 5.779 Zr
0.000 0.000 1.504 Zr
1.795 1.795 3.641 Tm
1.795 1.795 0.000 Nb
```

The total magnetization is 0.000 Bohr magnetons per cell. As for the polymorph energy (0 for the lowest one): 0.0000 eV/atom. For the formation enthalpy at 0 K, the calculation gives 85 meV/atom. The mass density comes out at 7.863 Mg/m³.

Record 12
A relaxed structure of Si2SbPb2, computed with PBE.

```
Si2SbPb2
1.0
3.572 0.000 0.000
0.000 3.572 0.000
1.786 1.786 9.862
Si Sb Pb
2 1 2
Cartesian
1.786 3.572 4.931 Si
3.572 1.786 4.931 Si
0.000 0.000 0.000 Sb
1.786 1.786 2.310 Pb
3.572 3.572 7.552 Pb
```

The total magnetization is 0.000 Bohr magnetons per cell. As for the polymorph energy (0 for the lowest one): 0.0000 eV/atom. The uncorrected formation energy comes out at 0.2550 eV/atom. The mass density comes out at 7.816 Mg/m³.